No. 1
First-principles (GGA-PBE) data for a relaxed Y7HoEr3 crystal, as listed in Alexandria via LeMat-Bulk.

Geometry as POSCAR:
```
Y7HoEr3
1.0
-6.634 -5.470 -2.129
0.552 -0.181 9.941
0.014 5.523 0.101
Y Ho Er
7 1 3
direct
0.916 0.831 0.916
0.820 0.639 0.320
0.645 0.290 0.145
0.355 0.710 0.855
0.500 0.000 0.500
0.180 0.361 0.680
0.084 0.169 0.084
0.500 0.500 0.500
0.221 0.000 0.721
0.000 0.500 0.000
0.779 0.000 0.279
```

The symmetry is No. 10. Its distance to the lowest polymorph of the same formula is 0.0 meV/atom. The magnetic moment comes out at 0.000 μB/cell. The formation energy is 0.147 eV per atom.

=====

No. 2
First-principles (GGA-PBE) data for a relaxed NpPaP2 crystal, as listed in Alexandria via LeMat-Bulk.

Geometry as POSCAR:
```
NpPaP2
1.0
3.388 0.000 0.000
0.000 3.388 0.000
0.000 0.000 6.850
Np P Pa
1 2 1
direct
0.500 0.500 0.000
0.000 0.000 0.747
0.000 0.000 0.253
0.500 0.500 0.500
```

The symmetry is No. 123. Its distance to the lowest polymorph of the same formula is 281.8 meV/atom. The magnetic moment comes out at 4.702 μB/cell. The formation energy is -0.822 eV per atom.

=====

No. 3
First-principles (GGA-PBE) data for a relaxed Pr2AgRuC crystal, as listed in Alexandria via LeMat-Bulk.

Geometry as POSCAR:
```
Pr2AgRuC
1.0
3.917 0.000 0.000
0.000 5.292 0.000
0.000 0.000 5.292
Pr Ag Ru C
2 1 1 1
direct
0.000 0.000 0.500
0.000 0.500 0.000
0.500 0.500 0.500
0.500 0.000 0.000
0.000 0.000 0.000
```

The symmetry is No. 123. The magnetic moment comes out at 0.000 μB/cell. The formation energy is -0.240 eV per atom.

=====

Which ρ belongs to each record? In order, 5.99, 11.19, 7.61 Mg/m³.
Which density of states at the Fermi level belongs to each record? In order, 19.787, 8.782, 2.749 states/eV per cell.